Entry 1:
A plane-wave DFT calculation with PBE was carried out for crystalline ZrW5 at its relaxed geometry.

ΔH_f (0 K)   0.5358 eV per atom
Energy relative to the lowest polymorph listed for this composition   3.053 eV/f.u.

abc: 4.879 4.879 5.051
angles: 90.00 90.00 120.00
Fractional coordinates of all 6 atoms:
1 Zr 0.000 0.000 0.500
2 W 0.657 0.000 0.000
3 W 0.343 0.343 0.000
4 W 0.000 0.657 0.000
5 W 0.667 0.333 0.500
6 W 0.333 0.667 0.500

Entry 2:
A plane-wave DFT calculation with PBE was carried out for crystalline GaAgPd5 at its relaxed geometry.

ΔH_f (0 K)   -0.1708 eV per atom
Energy relative to the lowest polymorph listed for this composition   0.282 eV/f.u.

abc: 9.531 9.531 9.365
angles: 31.27 31.27 46.41
Fractional coordinates of all 14 atoms:
1 Ga 0.000 0.000 0.000
2 Ga 0.000 0.000 0.500
3 Ag 0.515 0.485 0.250
4 Ag 0.485 0.515 0.750
5 Pd 0.609 0.985 0.055
6 Pd 0.222 0.567 0.667
7 Pd 0.985 0.609 0.555
8 Pd 0.870 0.130 0.250
9 Pd 0.433 0.778 0.833
10 Pd 0.567 0.222 0.167
11 Pd 0.130 0.870 0.750
12 Pd 0.015 0.391 0.445
13 Pd 0.778 0.433 0.333
14 Pd 0.391 0.015 0.945

Entry 3:
A plane-wave DFT calculation with PBE was carried out for crystalline SrCrPd at its relaxed geometry.

ΔH_f (0 K)   0.4472 eV per atom
Energy relative to the lowest polymorph listed for this composition   1.343 eV/f.u.

abc: 4.114 4.114 9.896
angles: 90.00 90.00 120.00
Fractional coordinates of all 6 atoms:
1 Sr 0.000 0.000 0.000
2 Sr 0.000 0.000 0.500
3 Pd 0.333 0.667 0.750
4 Pd 0.667 0.333 0.250
5 Cr 0.333 0.667 0.250
6 Cr 0.667 0.333 0.750

Entry 4:
A plane-wave DFT calculation with PBE was carried out for crystalline PrScIn4 at its relaxed geometry.

ΔH_f (0 K)   -0.2843 eV per atom

abc: 5.999 5.999 5.999
angles: 60.00 60.00 60.00
Fractional coordinates of all 6 atoms:
1 Pr 0.250 0.250 0.250
2 Sc 0.000 0.000 0.000
3 In 0.625 0.625 0.124
4 In 0.625 0.124 0.625
5 In 0.625 0.625 0.625
6 In 0.124 0.625 0.625

Entry 5:
A plane-wave DFT calculation with PBE was carried out for crystalline PmThAlSi at its relaxed geometry.

Formation energy (no corrections)   -0.566 eV/atom

abc: 4.441 4.052 6.054
angles: 90.00 111.52 90.00
Fractional coordinates of all 4 atoms:
1 Pm 0.144 0.000 0.288
2 Th 0.859 0.500 0.717
3 Al 0.571 0.500 0.142
4 Si 0.427 0.000 0.853

Entry 6:
A plane-wave DFT calculation with PBE was carried out for crystalline TbHoAu6 at its relaxed geometry.

ΔH_f (0 K)   -0.6743 eV per atom

abc: 4.522 5.112 8.181
angles: 82.01 73.96 63.75
Fractional coordinates of all 8 atoms:
1 Tb 0.000 0.500 0.500
2 Ho 0.000 0.000 0.000
3 Au 0.250 0.873 0.627
4 Au 0.501 0.247 0.750
5 Au 0.251 0.375 0.123
6 Au 0.499 0.753 0.250
7 Au 0.750 0.127 0.373
8 Au 0.749 0.625 0.877

Entry 7:
A plane-wave DFT calculation with PBE was carried out for crystalline CaTeN2O at its relaxed geometry.

Formation energy (no corrections)   1.084 eV/atom

abc: 4.253 4.173 4.253
angles: 90.00 90.00 90.00
Fractional coordinates of all 5 atoms:
1 Ca 0.000 0.500 0.000
2 Te 0.500 0.500 0.500
3 O 0.000 0.000 0.000
4 N 0.000 0.000 0.500
5 N 0.500 0.000 0.000

Entry 8:
A plane-wave DFT calculation with PBE was carried out for crystalline ThZn2SiIr2 at its relaxed geometry.

Formation energy (no corrections)   -0.223 eV/atom

abc: 4.504 4.504 5.665
angles: 90.00 90.00 90.00
Fractional coordinates of all 6 atoms:
1 Th 0.000 0.000 0.500
2 Zn 0.500 0.500 0.728
3 Zn 0.500 0.500 0.272
4 Si 0.000 0.000 0.000
5 Ir 0.500 0.000 0.000
6 Ir 0.000 0.500 0.000

Entry 9:
A plane-wave DFT calculation with PBE was carried out for crystalline MnOs3 at its relaxed geometry.

ΔH_f (0 K)   0.4936 eV per atom

abc: 4.843 4.843 4.843
angles: 90.00 90.00 90.00
Fractional coordinates of all 8 atoms:
1 Mn 0.000 0.000 0.000
2 Mn 0.500 0.500 0.500
3 Os 0.000 0.250 0.500
4 Os 0.000 0.750 0.500
5 Os 0.250 0.500 0.000
6 Os 0.500 0.000 0.250
7 Os 0.500 0.000 0.750
8 Os 0.750 0.500 0.000

Entry 10:
A plane-wave DFT calculation with PBE was carried out for crystalline Na3Tl2Cd7 at its relaxed geometry.

ΔH_f (0 K)   -0.0615 eV per atom

abc: 6.063 6.063 10.745
angles: 73.61 73.61 60.00
Fractional coordinates of all 12 atoms:
1 Na 0.000 0.000 0.000
2 Na 0.856 0.856 0.431
3 Na 0.144 0.144 0.569
4 Tl 0.664 0.664 0.007
5 Tl 0.336 0.336 0.993
6 Cd 0.500 0.500 0.500
7 Cd 0.919 0.407 0.267
8 Cd 0.407 0.919 0.267
9 Cd 0.407 0.407 0.267
10 Cd 0.081 0.593 0.733
11 Cd 0.593 0.593 0.733
12 Cd 0.593 0.081 0.733

Entry 11:
A plane-wave DFT calculation with PBE was carried out for crystalline CeSmIr2 at its relaxed geometry.

ΔH_f (0 K)   -0.6354 eV per atom
Energy relative to the lowest polymorph listed for this composition   0.440 eV/f.u.

abc: 5.671 5.767 11.421
angles: 101.04 90.00 90.00
Fractional coordinates of all 16 atoms:
1 Ce 0.250 0.533 0.609
2 Ce 0.750 0.467 0.391
3 Ce 0.250 0.967 0.891
4 Ce 0.750 0.033 0.109
5 Sm 0.250 0.940 0.395
6 Sm 0.750 0.060 0.605
7 Sm 0.250 0.560 0.105
8 Sm 0.750 0.440 0.895
9 Ir 0.750 0.923 0.856
10 Ir 0.250 0.077 0.144
11 Ir 0.750 0.577 0.644
12 Ir 0.250 0.423 0.356
13 Ir 0.750 0.546 0.157
14 Ir 0.250 0.454 0.843
15 Ir 0.750 0.954 0.343
16 Ir 0.250 0.046 0.657

Entry 12:
A plane-wave DFT calculation with PBE was carried out for crystalline PuPaZn2 at its relaxed geometry.

ΔH_f (0 K)   0.0775 eV per atom
Energy relative to the lowest polymorph listed for this composition   0.464 eV/f.u.

abc: 4.999 4.999 4.999
angles: 60.00 60.00 60.00
Fractional coordinates of all 4 atoms:
1 Zn 0.250 0.250 0.250
2 Zn 0.750 0.750 0.750
3 Pa 0.000 0.000 0.000
4 Pu 0.500 0.500 0.500

no.,VASP energy (eV per cell)
1,-70.10
2,-66.08
3,-30.31
4,-23.77
5,-23.60
6,-34.27
7,-21.33
8,-34.45
9,-81.77
10,-15.83
11,-123.67
12,-26.07